No. 1
Computed, not measured: an optimized crystal structure of BaSrAu2 at the PBE level of DFT.

a = 4.8338 Å, b = 4.8338 Å, c = 23.1002 Å
α = 90.00°, β = 90.00°, γ = 120.00°
Space group R3m (No. 160, hexagonal axes)
Unique sites:
Ba: 0.0000 0.0000 0.0000 (multiplicity 3)
Sr: 0.0000 0.0000 0.1680 (multiplicity 3)
Au: 0.0000 0.0000 0.4222 (multiplicity 3)
Au: 0.0000 0.0000 0.7575 (multiplicity 3)

No. 2
Computed, not measured: an optimized crystal structure of Ba2SrAu4 at the PBE level of DFT.

a = 5.836 Å, b = 5.836 Å, c = 13.683 Å
α = 90.00°, β = 90.00°, γ = 90.00°
Space group I4/mmm (No. 139)
Unique sites:
Ba: 0.000 0.000 0.212 (multiplicity 4)
Sr: 0.000 0.000 0.500 (multiplicity 2)
Au: 0.000 0.500 0.107 (multiplicity 8)

No. 3
Computed, not measured: an optimized crystal structure of Ba12SrAu7 at the PBE level of DFT.

a = 16.9753 Å, b = 16.9753 Å, c = 11.6028 Å
α = 90.00°, β = 90.00°, γ = 120.00°
Space group R-3 (No. 148, hexagonal axes)
Unique sites:
Ba: 0.0253 0.4389 0.1629 (multiplicity 18)
Ba: 0.0479 0.8766 0.8269 (multiplicity 18)
Sr: 0.0000 0.0000 0.5000 (multiplicity 3)
Au: 0.0000 0.0000 0.0000 (multiplicity 3)
Au: 0.0485 0.8688 0.3381 (multiplicity 18)

No. 4
Computed, not measured: an optimized crystal structure of BaSr4Au at the PBE level of DFT.

a = 10.823 Å, b = 10.823 Å, c = 10.823 Å
α = 90.00°, β = 90.00°, γ = 90.00°
Space group F-43m (No. 216)
Unique sites:
Ba: 0.000 0.000 0.000 (multiplicity 4)
Sr: 0.125 0.125 0.625 (multiplicity 16)
Au: 0.250 0.250 0.250 (multiplicity 4)

No. 5
Computed, not measured: an optimized crystal structure of Ba5SrAu4 at the PBE level of DFT.

a = 20.466 Å, b = 4.739 Å, c = 9.364 Å
α = 90.00°, β = 104.12°, γ = 90.00°
Space group C2/m (No. 12)
Unique sites:
Ba: 0.000 0.000 0.000 (multiplicity 2)
Ba: 0.164 0.500 0.828 (multiplicity 4)
Ba: 0.166 0.500 0.348 (multiplicity 4)
Sr: 0.000 0.000 0.500 (multiplicity 2)
Au: 0.000 0.500 0.255 (multiplicity 4)
Au: 0.166 0.000 0.592 (multiplicity 4)

No. 6
Computed, not measured: an optimized crystal structure of BaSr5Au6 at the PBE level of DFT.

a = 5.485 Å, b = 7.769 Å, c = 8.634 Å
α = 90.00°, β = 108.25°, γ = 90.00°
Space group P2/m (No. 10)
Unique sites:
Ba: 0.000 0.000 0.000 (multiplicity 1)
Sr: 0.000 0.500 0.000 (multiplicity 1)
Sr: 0.333 0.000 0.665 (multiplicity 2)
Sr: 0.333 0.500 0.666 (multiplicity 2)
Au: 0.169 0.254 0.341 (multiplicity 4)
Au: 0.500 0.262 0.000 (multiplicity 2)

In states/eV per atom, the DOS(E_F) values for the records above are, in order, 0.544; 0.507; 0.752; 0.647; 0.663; 0.631.
In eV/atom, the formation energy from the elements values for the records above are, in order, -0.607; -0.602; -0.529; 0.272; -0.588; -0.721.
In eV/atom, the raw total energy values for the records above are, in order, -3.147; -3.265; -2.914; -1.716; -3.029; -3.221.